[1]
Entry from Alexandria: crystalline ZnSiAs at its relaxed geometry (PBE).

The structure belongs to space group I4mm (No. 107); the cell edges are 3.465, 3.465 and 8.950 Å and the angles 90.00°, 90.00° and 90.00°. Symmetry generates all atoms from Zn at (0.000, 0.000, 0.000), Si at (0.000, 0.000, 0.307) and As at (0.000, 0.000, 0.697).

The formation energy from raw total energies comes out at 357 meV per atom. The value obtained for the total magnetization is 0.0 μB/cell. The total energy comes out at -3.4254 eV/atom. As for the density of states at the Fermi level: 0.39 states/eV per atom.

[2]
Entry from Alexandria: crystalline HgTeW2 at its relaxed geometry (PBE).

The structure belongs to space group R-3m (No. 166, hexagonal axes); the cell edges are 3.0995, 3.0995 and 27.0250 Å and the angles 90.00°, 90.00° and 120.00°. Symmetry generates all atoms from Hg at (0.0000, 0.0000, 0.0000), Te at (0.0000, 0.0000, 0.5000) and W at (0.0000, 0.0000, 0.2458).

The formation energy from raw total energies comes out at 886 meV per atom. The value obtained for the total magnetization is 0.0 μB/cell. The total energy comes out at -6.4510 eV/atom. As for the density of states at the Fermi level: 0.86 states/eV per atom.

[3]
Entry from Alexandria: crystalline V2HIrRu at its relaxed geometry (PBE).

The structure belongs to space group P4/mmm (No. 123); the cell edges are 3.926, 3.926 and 3.706 Å and the angles 90.00°, 90.00° and 90.00°. Symmetry generates all atoms from V at (0.000, 0.500, 0.000), H at (0.000, 0.000, 0.000), Ir at (0.500, 0.500, 0.500) and Ru at (0.000, 0.000, 0.500).

The value obtained for the total magnetization is 0.0 μB/cell. The total energy comes out at -8.2243 eV/atom. As for the density of states at the Fermi level: 1.15 states/eV per atom.

Number 1: distance to the lowest polymorph of the same formula 0.0775 eV/atom. Number 2: distance to the lowest polymorph of the same formula 0.4352 eV/atom. Number 3: distance to the lowest polymorph of the same formula 0.0000 eV/atom.